[1]
{
  "formula": "Rb3DyTa2O8",
  "functional": "GGA-PBE",
  "state": "relaxed",
  "raw_formation_energy_ev_per_atom": -2.68,
  "magnetic_moment_mub_per_cell": 0.0,
  "lattice": [[6.274, 0.000, 0.000], [-3.137, 5.433, 0.000], [0.000, 0.000, 8.068]],
  "species": ["Rb", "Rb", "Rb", "Dy", "Ta", "Ta", "O", "O", "O", "O", "O", "O", "O", "O"],
  "frac_coords": [[0.000, 0.000, 0.000], [0.333, 0.667, 0.696], [0.667, 0.333, 0.304], [0.000, 0.000, 0.500], [0.333, 0.667, 0.252], [0.667, 0.333, 0.748], [0.170, 0.340, 0.333], [0.170, 0.830, 0.333], [0.333, 0.667, 0.027], [0.340, 0.170, 0.667], [0.660, 0.830, 0.333], [0.667, 0.333, 0.973], [0.830, 0.170, 0.667], [0.830, 0.660, 0.667]]
}

---

[2]
{
  "formula": "Rb3Dy3TaO8",
  "functional": "GGA-PBE",
  "state": "relaxed",
  "raw_formation_energy_ev_per_atom": -2.69,
  "magnetic_moment_mub_per_cell": 0.0,
  "lattice": [[3.416, 1.972, 6.703], [-3.416, 1.972, 6.703], [0.000, -3.945, 6.703]],
  "species": ["Rb", "Rb", "Rb", "Dy", "Dy", "Dy", "Ta", "O", "O", "O", "O", "O", "O", "O", "O"],
  "frac_coords": [[0.000, 0.500, 0.500], [0.500, 0.000, 0.500], [0.500, 0.500, 0.000], [0.000, 0.000, 0.500], [0.000, 0.500, 0.000], [0.500, 0.000, 0.000], [0.500, 0.500, 0.500], [0.224, 0.224, 0.224], [0.253, 0.702, 0.702], [0.298, 0.298, 0.747], [0.298, 0.747, 0.298], [0.702, 0.253, 0.702], [0.702, 0.702, 0.253], [0.747, 0.298, 0.298], [0.776, 0.776, 0.776]]
}